[1]
DFT (PBE) results for an optimized crystal structure of TiPd2.

a b c (Å): 5.200 5.200 5.200
angles (deg): 60.00 60.00 60.00
Sites, in units of the cell vectors:
Ti1 0.000 0.000 0.000
Ti2 0.250 0.250 0.250
Pd1 0.625 0.125 0.625
Pd2 0.625 0.625 0.625
Pd3 0.625 0.625 0.125
Pd4 0.125 0.625 0.625

Values from the calculation:
symmetry	Fd-3m
uncorrected energy	-37.9	eV/cell
DOS at the Fermi energy	7.95	states/eV per cell
calculated formation energy	-231	meV/atom


[2]
DFT (PBE) results for an optimized crystal structure of Tl2CrTc.

a b c (Å): 3.085 3.085 8.524
angles (deg): 90.00 90.00 90.00
Sites, in units of the cell vectors:
Tc1 0.500 0.500 0.695
Tl1 0.500 0.500 0.298
Tl2 0.000 0.000 0.952
Cr1 0.000 0.000 0.555

Values from the calculation:
symmetry	P4mm
uncorrected energy	-23.0	eV/cell
DOS at the Fermi energy	2.60	states/eV per cell
calculated formation energy	437	meV/atom


[3]
DFT (PBE) results for an optimized crystal structure of TbHoZrSc.

a b c (Å): 5.361 5.361 5.361
angles (deg): 60.00 60.00 60.00
Sites, in units of the cell vectors:
Sc1 0.000 0.000 0.000
Zr1 0.250 0.250 0.250
Tb1 0.750 0.750 0.750
Ho1 0.500 0.500 0.500

Values from the calculation:
symmetry	F-43m
uncorrected energy	-23.3	eV/cell
DOS at the Fermi energy	8.31	states/eV per cell
calculated formation energy	194	meV/atom


[4]
DFT (PBE) results for an optimized crystal structure of Mo2RuBr.

a b c (Å): 4.653 3.733 3.733
angles (deg): 90.00 90.00 90.00
Sites, in units of the cell vectors:
Br1 0.500 0.000 0.500
Ru1 0.500 0.500 0.000
Mo1 0.000 0.500 0.500
Mo2 0.000 0.000 0.000

Values from the calculation:
symmetry	P4/mmm
uncorrected energy	-28.5	eV/cell
DOS at the Fermi energy	4.06	states/eV per cell
formation energy from raw total energies	4.09	eV/f.u.


[5]
DFT (PBE) results for an optimized crystal structure of Sc2SeBr.

a b c (Å): 3.633 3.633 8.203
angles (deg): 90.00 90.00 120.15
Sites, in units of the cell vectors:
Se1 0.500 0.500 0.250
Sc1 0.000 0.000 0.022
Sc2 0.000 0.000 0.478
Br1 0.500 0.500 0.750

Values from the calculation:
symmetry	Cmmm
uncorrected energy	-21.7	eV/cell
DOS at the Fermi energy	3.16	states/eV per cell
formation energy from raw total energies	-3.83	eV/f.u.


[6]
DFT (PBE) results for an optimized crystal structure of KGaCu.

a b c (Å): 5.535 4.186 4.186
angles (deg): 120.00 90.00 90.00
Sites, in units of the cell vectors:
Ga1 0.166 0.667 0.333
Cu1 0.167 0.000 0.000
K1 0.666 0.333 0.667

Values from the calculation:
symmetry	P3m1
uncorrected energy	-7.9	eV/cell
DOS at the Fermi energy	1.41	states/eV per cell
calculated formation energy	121	meV/atom